# 1
## BaMnSCl2 (PBE)

Data for an optimized crystal structure of BaMnSCl2.

Values from the calculation:
Formation energy without anion corrections: -0.438 eV/atom
Theoretical density: 2.3 g/cm³
Crystal system: tetragonal
E: -21.1 eV per cell

The structure in POSCAR format:
```
BaMnSCl2
1.0
-3.262 4.801 0.612
-4.471 -3.272 1.834
1.946 0.584 5.785
S Mn Ba Cl
1 1 1 2
Direct
0.000 0.000 0.500
0.500 0.500 0.500
0.000 0.000 0.000
0.000 0.500 0.000
0.500 0.000 0.000
```

=====

# 2
## RbLaAsSe2 (PBE)

Data for an optimized crystal structure of RbLaAsSe2.

Values from the calculation:
Formation energy without anion corrections: -0.691 eV/atom
Theoretical density: 3.7 g/cm³
Crystal system: tetragonal
E: -21.0 eV per cell

The structure in POSCAR format:
```
RbLaAsSe2
1.0
-1.774 -4.746 2.909
2.013 -3.393 -4.309
5.293 -0.313 2.719
As Se Rb La
1 2 1 1
Direct
0.000 0.000 0.500
0.000 0.500 0.000
0.500 0.000 0.000
0.500 0.500 0.500
0.000 0.000 0.000
```

=====

# 3
## HgPdSeBr2 (PBE)

Data for an optimized crystal structure of HgPdSeBr2.

Values from the calculation:
Formation energy without anion corrections: 0.084 eV/atom
Theoretical density: 6.8 g/cm³
Crystal system: tetragonal
E: -11.9 eV per cell

The structure in POSCAR format:
```
HgPdSeBr2
1.0
5.155 0.000 0.000
0.000 5.155 0.000
0.000 0.000 5.043
Br Se Hg Pd
2 1 1 1
Direct
0.000 0.500 0.000
0.500 0.000 0.000
0.000 0.000 0.500
0.500 0.500 0.500
0.000 0.000 0.000
```

=====

The lowest theoretical density belongs to which entry?
BaMnSCl2

=====

Please write out number 2 again, unchanged.
## RbLaAsSe2 (PBE)

Data for an optimized crystal structure of RbLaAsSe2.

Values from the calculation:
Formation energy without anion corrections: -0.691 eV/atom
Theoretical density: 3.7 g/cm³
Crystal system: tetragonal
E: -21.0 eV per cell

The structure in POSCAR format:
```
RbLaAsSe2
1.0
-1.774 -4.746 2.909
2.013 -3.393 -4.309
5.293 -0.313 2.719
As Se Rb La
1 2 1 1
Direct
0.000 0.000 0.500
0.000 0.500 0.000
0.500 0.000 0.000
0.500 0.500 0.500
0.000 0.000 0.000
```

=====

Which of these has the lowest E?
BaMnSCl2